# 1
Entry from the Alexandria database: an optimized crystal structure of BaAgMo2 (PBE).

Lattice parameters (Å, degrees): 4.2663 4.2663 7.2101 72.83 72.83 59.98
Last column: nearest neighbours and their distance in Å.
Element x y z (fractional)
Ba1 0.2554 0.2554 0.2347  3 Ag 3.49, 6 Mo 3.67-3.68
Ag1 0.4666 0.4666 0.5995  6 Mo 2.92-2.93
Mo1 0.7227 0.7227 0.8318  3 Mo 2.46
Mo2 0.0553 0.0553 0.8339  3 Mo 2.46

- formation energy from the elements (meV per atom) = 628
- polymorph energy (0 for the lowest one) (eV per atom) = 0.1028
- symmetry = R3m, No. 160
- energy (eV per cell) = -23.9
- total magnetization (μB/atom) = 0.0000

# 2
Entry from the Alexandria database: an optimized crystal structure of La5Pr6Er2 (PBE).

Lattice parameters (Å, degrees): 3.6933 11.9214 21.3038 90.00 90.00 90.00
Last column: nearest neighbours and their distance in Å.
Element x y z (fractional)
La1 0.5000 0.0860 0.2287  5 Pr 3.42-3.64, 4 Er 3.58-3.70, 2 La 3.69
Pr1 0.5000 0.3270 0.1415  2 La 3.42-3.65, 4 Pr 3.60-3.69, 2 Er 3.68
La2 0.5000 0.9140 0.7713  5 Pr 3.42-3.64, 4 Er 3.58-3.70, 2 La 3.69
Pr2 0.0000 0.9144 0.6304  1 Er 3.37, 6 La 3.49-3.59, 4 Pr 3.60-3.69
Pr3 0.0000 0.4362 0.5821  6 La 3.64-3.77, 5 Pr 3.69-3.85, 1 Er 3.88
Pr4 0.5000 0.6730 0.8585  2 La 3.42-3.65, 4 Pr 3.60-3.69, 2 Er 3.68
Pr5 0.0000 0.5638 0.4179  6 La 3.64-3.77, 5 Pr 3.69-3.85, 1 Er 3.88
La3 0.5000 0.1962 0.9469  6 Pr 3.59-3.77, 3 La 3.69-3.79, 2 Er 3.82
Pr6 0.0000 0.0856 0.3696  1 Er 3.37, 6 La 3.49-3.59, 4 Pr 3.60-3.69
Pr7 0.0000 0.4144 0.8696  1 Er 3.37, 6 La 3.49-3.59, 4 Pr 3.60-3.69
Er1 0.0000 0.3310 0.2909  3 Pr 3.37-3.68, 4 La 3.58-3.70, 2 Er 3.69
La4 0.5000 0.8038 0.0531  6 Pr 3.59-3.77, 3 La 3.69-3.79, 2 Er 3.82
La5 0.5000 0.5860 0.2713  5 Pr 3.42-3.64, 4 Er 3.58-3.70, 2 La 3.69
La6 0.5000 0.5000 0.0000  6 Pr 3.49-3.65, 4 La 3.69-3.79
La7 0.5000 0.4140 0.7287  5 Pr 3.42-3.64, 4 Er 3.58-3.70, 2 La 3.69
Er2 0.0000 0.1690 0.7909  3 Pr 3.37-3.68, 4 La 3.58-3.70, 2 Er 3.69
Pr8 0.0000 0.5856 0.1304  1 Er 3.37, 6 La 3.49-3.59, 4 Pr 3.60-3.69
Er3 0.0000 0.6690 0.7091  3 Pr 3.37-3.68, 4 La 3.58-3.70, 2 Er 3.69
La8 0.5000 0.0000 0.5000  6 Pr 3.49-3.65, 4 La 3.69-3.79
La9 0.5000 0.3038 0.4469  6 Pr 3.59-3.77, 3 La 3.69-3.79, 2 Er 3.82
Pr9 0.5000 0.1730 0.6415  2 La 3.42-3.65, 4 Pr 3.60-3.69, 2 Er 3.68
Pr10 0.5000 0.8270 0.3585  2 La 3.42-3.65, 4 Pr 3.60-3.69, 2 Er 3.68
Pr11 0.0000 0.0638 0.0821  6 La 3.64-3.77, 5 Pr 3.69-3.85, 1 Er 3.88
Pr12 0.0000 0.9362 0.9179  6 La 3.64-3.77, 5 Pr 3.69-3.85, 1 Er 3.88
La10 0.5000 0.6962 0.5531  6 Pr 3.59-3.77, 3 La 3.69-3.79, 2 Er 3.82
Er4 0.0000 0.8310 0.2091  3 Pr 3.37-3.68, 4 La 3.58-3.70, 2 Er 3.69

- formation energy from the elements (meV per atom) = 81
- symmetry = Pbam, No. 55
- energy (eV per cell) = -122.8
- total magnetization (μB/atom) = 0.0000